No. 1
VASP calculation (PBE) on crystalline LaPrSm2Th at its relaxed geometry.

Lattice parameters (Å, degrees): 8.7090 6.5832 6.4941 90.00 101.10 90.00
With the nearest neighbours (Å) after each atom.
Fractional coordinates of all 10 atoms:
La 0.0000 0.0000 0.0000  2 La 3.25, 2 Th 3.39, 2 Sm 3.51
La 0.0000 0.0000 0.5000  2 La 3.25, 2 Th 3.39, 2 Sm 3.51
Pr 0.5000 0.1626 0.2500  8 Sm 3.61-3.88, 2 Pr 3.89
Pr 0.5000 0.8374 0.7500  8 Sm 3.61-3.88, 2 Pr 3.89
Sm 0.3136 0.3286 0.6831  1 Th 3.19, 1 Sm 3.19, 1 La 3.51
Sm 0.3136 0.6714 0.1831  1 Th 3.19, 1 Sm 3.19, 1 La 3.51
Sm 0.6864 0.3286 0.8169  1 Th 3.19, 1 Sm 3.19, 1 La 3.51
Sm 0.6864 0.6714 0.3169  1 Th 3.19, 1 Sm 3.19, 1 La 3.51
Th 0.0000 0.4519 0.2500  2 Sm 3.19, 2 Th 3.31, 2 La 3.39
Th 0.0000 0.5481 0.7500  2 Sm 3.19, 2 Th 3.31, 2 La 3.39

Space group: P2/c (13)
Mass density: 7.4 g/cm3
Raw total energy: -5.035 eV per atom
Total moment: 0.0 μB per cell
Formation energy from the elements: 0.2782 eV per atom



No. 2
VASP calculation (PBE) on crystalline La2Pr4Sm2Th at its relaxed geometry.

Lattice parameters (Å, degrees): 8.2527 8.2527 8.2722 107.61 107.61 36.71
With the nearest neighbours (Å) after each atom.
Fractional coordinates of all 9 atoms:
La 0.1104 0.1104 0.1721  1 Th 3.65, 3 Sm 3.65-3.72, 7 Pr 3.67-3.78, 1 La 3.71
La 0.8896 0.8896 0.8279  1 Th 3.65, 3 Sm 3.65-3.72, 7 Pr 3.67-3.78, 1 La 3.71
Pr 0.2187 0.2187 0.8271  1 Th 3.63, 5 Pr 3.65-3.80, 3 Sm 3.65-3.74, 3 La 3.73-3.76
Pr 0.4456 0.4456 0.1776  2 Sm 3.59, 2 Th 3.63, 4 Pr 3.65-3.84, 4 La 3.67-3.78
Pr 0.5544 0.5544 0.8224  2 Sm 3.59, 2 Th 3.63, 4 Pr 3.65-3.84, 4 La 3.67-3.78
Pr 0.7813 0.7813 0.1729  1 Th 3.63, 5 Pr 3.65-3.80, 3 Sm 3.65-3.74, 3 La 3.73-3.76
Sm 0.3373 0.3373 0.5003  5 Pr 3.59-3.74, 2 Th 3.64, 3 La 3.65-3.72, 2 Sm 3.77
Sm 0.6627 0.6627 0.4997  5 Pr 3.59-3.74, 2 Th 3.64, 3 La 3.65-3.72, 2 Sm 3.77
Th 0.0000 0.0000 0.5000  6 Pr 3.63, 4 Sm 3.64, 2 La 3.65

Space group: C2/m (12)
Mass density: 7.1 g/cm3
Raw total energy: -5.061 eV per atom
Total moment: 0.0 μB per cell
Formation energy from the elements: 0.0313 eV per atom



No. 3
VASP calculation (PBE) on crystalline LaPrSmTh at its relaxed geometry.

Lattice parameters (Å, degrees): 5.8173 5.8173 5.8173 60.00 60.00 60.00
With the nearest neighbours (Å) after each atom.
Fractional coordinates of all 4 atoms:
La 0.0000 0.0000 0.0000  4 Th 3.56, 4 Sm 3.56
Pr 0.5000 0.5000 0.5000  4 Th 3.56, 4 Sm 3.56
Sm 0.2500 0.2500 0.2500  4 Pr 3.56, 4 La 3.56
Th 0.7500 0.7500 0.7500  4 Pr 3.56, 4 La 3.56

Space group: F-43m (216)
Mass density: 7.9 g/cm3
Raw total energy: -5.254 eV per atom
Total moment: 0.3 μB per cell
Formation energy from the elements: 0.2075 eV per atom



No. 4
VASP calculation (PBE) on crystalline LaPr2SmTh at its relaxed geometry.

Lattice parameters (Å, degrees): 6.5092 8.5113 6.6966 90.00 103.03 90.00
With the nearest neighbours (Å) after each atom.
Fractional coordinates of all 10 atoms:
La 0.0000 0.0982 0.2500  2 Th 3.41, 2 Pr 3.44, 2 La 3.74
La 0.0000 0.9018 0.7500  2 Th 3.41, 2 Pr 3.44, 2 La 3.74
Pr 0.2185 0.3277 0.6657  2 Pr 3.29-3.58, 2 Sm 3.35-3.66, 1 La 3.44, 1 Th 3.64
Pr 0.2185 0.6723 0.1657  2 Pr 3.29-3.58, 2 Sm 3.35-3.66, 1 La 3.44, 1 Th 3.64
Pr 0.7815 0.3277 0.8343  2 Pr 3.29-3.58, 2 Sm 3.35-3.66, 1 La 3.44, 1 Th 3.64
Pr 0.7815 0.6723 0.3343  2 Pr 3.29-3.58, 2 Sm 3.35-3.66, 1 La 3.44, 1 Th 3.64
Sm 0.5000 0.3400 0.2500  2 Th 3.34, 4 Pr 3.35-3.66
Sm 0.5000 0.6600 0.7500  2 Th 3.34, 4 Pr 3.35-3.66
Th 0.5000 0.0000 0.0000  2 Sm 3.34, 2 Th 3.35, 2 La 3.41, 2 Pr 3.64
Th 0.5000 0.0000 0.5000  2 Sm 3.34, 2 Th 3.35, 2 La 3.41, 2 Pr 3.64

Space group: P2/c (13)
Mass density: 7.4 g/cm3
Raw total energy: -5.099 eV per atom
Total moment: 0.0 μB per cell
Formation energy from the elements: 0.2260 eV per atom



No. 5
VASP calculation (PBE) on crystalline LaPr2Sm4Th at its relaxed geometry.

Lattice parameters (Å, degrees): 6.3414 3.6656 12.0798 90.00 100.22 90.00
With the nearest neighbours (Å) after each atom.
Fractional coordinates of all 8 atoms:
La 0.0000 0.0000 0.0000  4 Pr 3.66, 6 Sm 3.66-3.70, 2 La 3.67
Pr 0.5000 0.0000 0.5000  6 Sm 3.60-3.63, 4 Th 3.66, 2 Pr 3.67
Pr 0.5000 0.5000 0.0000  4 La 3.66, 2 Pr 3.67, 6 Sm 3.69-3.72
Sm 0.2421 0.0000 0.7430  2 Th 3.57, 3 Pr 3.60-3.72, 6 Sm 3.61-3.72, 1 La 3.70
Sm 0.2463 0.5000 0.2526  6 Sm 3.61-3.72, 1 Th 3.61, 3 Pr 3.63-3.69, 2 La 3.66
Sm 0.7537 0.5000 0.7474  6 Sm 3.61-3.72, 1 Th 3.61, 3 Pr 3.63-3.69, 2 La 3.66
Sm 0.7579 0.0000 0.2570  2 Th 3.57, 3 Pr 3.60-3.72, 6 Sm 3.61-3.72, 1 La 3.70
Th 0.0000 0.5000 0.5000  6 Sm 3.57-3.61, 4 Pr 3.66, 2 Th 3.67

Space group: P2/m (10)
Mass density: 7.5 g/cm3
Raw total energy: -5.068 eV per atom
Total moment: 0.0 μB per cell
Formation energy from the elements: 0.0302 eV per atom



No. 6
VASP calculation (PBE) on crystalline La4Pr2SmTh at its relaxed geometry.

Lattice parameters (Å, degrees): 6.4055 3.6788 12.2467 90.00 99.78 90.00
With the nearest neighbours (Å) after each atom.
Fractional coordinates of all 8 atoms:
La 0.2412 0.0000 0.2442  6 La 3.62-3.77, 2 Th 3.63, 3 Pr 3.66-3.77, 1 Sm 3.72
La 0.2444 0.5000 0.7513  6 La 3.62-3.77, 1 Th 3.65, 3 Pr 3.69-3.72, 2 Sm 3.70
La 0.7556 0.5000 0.2487  6 La 3.62-3.77, 1 Th 3.65, 3 Pr 3.69-3.72, 2 Sm 3.70
La 0.7588 0.0000 0.7558  6 La 3.62-3.77, 2 Th 3.63, 3 Pr 3.66-3.77, 1 Sm 3.72
Pr 0.5000 0.0000 0.0000  6 La 3.66-3.69, 2 Pr 3.68, 4 Th 3.69
Pr 0.5000 0.5000 0.5000  2 Pr 3.68, 4 Sm 3.69, 6 La 3.72-3.77
Sm 0.0000 0.0000 0.5000  2 Sm 3.68, 4 Pr 3.69, 6 La 3.70-3.72
Th 0.0000 0.5000 0.0000  6 La 3.63-3.65, 2 Th 3.68, 4 Pr 3.69

Space group: P2/m (10)
Mass density: 7.1 g/cm3
Raw total energy: -5.145 eV per atom
Total moment: 0.0 μB per cell
Formation energy from the elements: 0.0312 eV per atom



No. 7
VASP calculation (PBE) on crystalline La4PrSm2Th at its relaxed geometry.

Lattice parameters (Å, degrees): 6.3917 3.6734 12.1990 90.00 99.84 90.00
With the nearest neighbours (Å) after each atom.
Fractional coordinates of all 8 atoms:
La 0.2420 0.0000 0.2458  6 La 3.63-3.75, 2 Th 3.63, 1 Pr 3.66, 3 Sm 3.69-3.74
La 0.2459 0.5000 0.7502  6 La 3.63-3.75, 1 Th 3.66, 3 Sm 3.68-3.69, 2 Pr 3.69
La 0.7541 0.5000 0.2498  6 La 3.63-3.75, 1 Th 3.66, 3 Sm 3.68-3.69, 2 Pr 3.69
La 0.7580 0.0000 0.7542  6 La 3.63-3.75, 2 Th 3.63, 1 Pr 3.66, 3 Sm 3.69-3.74
Pr 0.5000 0.0000 0.0000  6 La 3.66-3.69, 2 Pr 3.67, 4 Th 3.69
Sm 0.0000 0.0000 0.5000  6 Sm 3.67-3.69, 6 La 3.68-3.69
Sm 0.5000 0.5000 0.5000  6 Sm 3.67-3.69, 6 La 3.69-3.74
Th 0.0000 0.5000 0.0000  6 La 3.63-3.66, 2 Th 3.67, 4 Pr 3.69

Space group: P2/m (10)
Mass density: 7.2 g/cm3
Raw total energy: -5.134 eV per atom
Total moment: 0.0 μB per cell
Formation energy from the elements: 0.0347 eV per atom



No. 8
VASP calculation (PBE) on crystalline La6PrSmTh2 at its relaxed geometry.

Lattice parameters (Å, degrees): 8.8197 8.8197 10.7545 97.42 97.42 117.73
With the nearest neighbours (Å) after each atom.
Fractional coordinates of all 20 atoms:
La 0.0121 0.5614 0.1680  5 La 3.53-3.95, 1 Sm 3.53, 2 Th 3.58-3.76, 1 Pr 3.79
La 0.1044 0.7410 0.5428  2 Th 3.46-3.65, 4 La 3.55-3.73, 1 Pr 3.60
La 0.2590 0.8956 0.9572  2 Th 3.46-3.65, 4 La 3.55-3.73, 1 Pr 3.60
La 0.3130 0.5090 0.3833  3 Th 3.35-3.73, 1 Sm 3.48, 4 La 3.53-3.73
La 0.4386 0.9879 0.3320  5 La 3.53-3.95, 1 Sm 3.53, 2 Th 3.58-3.76, 1 Pr 3.79
La 0.4910 0.6870 0.1167  3 Th 3.35-3.73, 1 Sm 3.48, 4 La 3.53-3.73
La 0.5090 0.3130 0.8833  3 Th 3.35-3.73, 1 Sm 3.48, 4 La 3.53-3.73
La 0.5614 0.0121 0.6680  5 La 3.53-3.95, 1 Sm 3.53, 2 Th 3.58-3.76, 1 Pr 3.79
La 0.6870 0.4910 0.6167  3 Th 3.35-3.73, 1 Sm 3.48, 4 La 3.53-3.73
La 0.7410 0.1044 0.0428  2 Th 3.46-3.65, 4 La 3.55-3.73, 1 Pr 3.60
La 0.8956 0.2590 0.4572  2 Th 3.46-3.65, 4 La 3.55-3.73, 1 Pr 3.60
La 0.9879 0.4386 0.8320  5 La 3.53-3.95, 1 Sm 3.53, 2 Th 3.58-3.76, 1 Pr 3.79
Pr 0.0092 0.9908 0.2500  4 Th 3.34-3.44, 2 La 3.60
Pr 0.9908 0.0092 0.7500  4 Th 3.34-3.44, 2 La 3.60
Sm 0.4017 0.5983 0.7500  6 La 3.48-3.82, 2 Th 3.60
Sm 0.5983 0.4017 0.2500  6 La 3.48-3.82, 2 Th 3.60
Th 0.1810 0.2633 0.0438  2 Pr 3.34-3.44, 6 La 3.35-3.73, 1 Sm 3.60
Th 0.2633 0.1810 0.5438  2 Pr 3.34-3.44, 6 La 3.35-3.73, 1 Sm 3.60
Th 0.7367 0.8190 0.4562  2 Pr 3.34-3.44, 6 La 3.35-3.73, 1 Sm 3.60
Th 0.8190 0.7367 0.9562  2 Pr 3.34-3.44, 6 La 3.35-3.73, 1 Sm 3.60

Space group: C2/c (15)
Mass density: 7.4 g/cm3
Raw total energy: -5.259 eV per atom
Total moment: 0.0 μB per cell
Formation energy from the elements: 0.1309 eV per atom



No. 9
VASP calculation (PBE) on crystalline La6PrSm2Th at its relaxed geometry.

Lattice parameters (Å, degrees): 6.7021 6.7021 9.2822 103.44 103.44 63.56
With the nearest neighbours (Å) after each atom.
Fractional coordinates of all 10 atoms:
La 0.0826 0.5397 0.1993  2 Sm 3.21-3.53, 2 La 3.23-3.59, 1 Th 3.43
La 0.1345 0.1345 0.4304  5 La 3.64-3.84, 1 Pr 3.87, 3 Th 3.97-4.04
La 0.4603 0.9174 0.8007  2 Sm 3.21-3.53, 2 La 3.23-3.59, 1 Th 3.43
La 0.5397 0.0826 0.1993  2 Sm 3.21-3.53, 2 La 3.23-3.59, 1 Th 3.43
La 0.8655 0.8655 0.5696  5 La 3.64-3.84, 1 Pr 3.87, 3 Th 3.97-4.04
La 0.9174 0.4603 0.8007  2 Sm 3.21-3.53, 2 La 3.23-3.59, 1 Th 3.43
Pr 0.0000 0.0000 0.0000  10 La 3.73-3.87, 4 Sm 3.87
Sm 0.4203 0.4203 0.8301  1 Sm 3.18, 4 La 3.21-3.53, 1 Th 3.43
Sm 0.5797 0.5797 0.1699  1 Sm 3.18, 4 La 3.21-3.53, 1 Th 3.43
Th 0.5000 0.5000 0.5000  2 Sm 3.43, 4 La 3.43

Space group: C2/m (12)
Mass density: 7.0 g/cm3
Raw total energy: -4.936 eV per atom
Total moment: 0.0 μB per cell
Formation energy from the elements: 0.1847 eV per atom



No. 10
VASP calculation (PBE) on crystalline LaPr3SmTh at its relaxed geometry.

Lattice parameters (Å, degrees): 8.2550 5.1977 10.3921 90.00 108.21 90.00
With the nearest neighbours (Å) after each atom.
Fractional coordinates of all 12 atoms:
La 0.1816 0.2500 0.2969  3 Th 3.56-3.61, 1 Sm 3.58, 8 Pr 3.65-3.85
La 0.8184 0.7500 0.7031  3 Th 3.56-3.61, 1 Sm 3.58, 8 Pr 3.65-3.85
Pr 0.1733 0.2500 0.7921  3 Sm 3.64-3.71, 1 Th 3.67, 6 Pr 3.68-3.79, 2 La 3.81
Pr 0.1742 0.7500 0.0459  3 Sm 3.65-3.69, 1 Th 3.67, 3 La 3.67-3.84, 5 Pr 3.70-3.77
Pr 0.1814 0.7500 0.5441  3 Th 3.56-3.60, 1 Sm 3.57, 3 La 3.65-3.85, 5 Pr 3.68-3.85
Pr 0.8186 0.2500 0.4559  3 Th 3.56-3.60, 1 Sm 3.57, 3 La 3.65-3.85, 5 Pr 3.68-3.85
Pr 0.8258 0.2500 0.9541  3 Sm 3.65-3.69, 1 Th 3.67, 3 La 3.67-3.84, 5 Pr 3.70-3.77
Pr 0.8267 0.7500 0.2079  3 Sm 3.64-3.71, 1 Th 3.67, 6 Pr 3.68-3.79, 2 La 3.81
Sm 0.4983 0.7500 0.8694  7 Pr 3.57-3.71, 1 La 3.58, 2 Th 3.67, 2 Sm 3.75
Sm 0.5017 0.2500 0.1306  7 Pr 3.57-3.71, 1 La 3.58, 2 Th 3.67, 2 Sm 3.75
Th 0.4998 0.2500 0.6203  5 Pr 3.56-3.67, 3 La 3.56-3.61, 2 Th 3.61, 2 Sm 3.67
Th 0.5002 0.7500 0.3797  5 Pr 3.56-3.67, 3 La 3.56-3.61, 2 Th 3.61, 2 Sm 3.67

Space group: P2_1/m (11)
Mass density: 7.4 g/cm3
Raw total energy: -5.203 eV per atom
Total moment: 0.0 μB per cell
Formation energy from the elements: 0.0313 eV per atom



No. 11
VASP calculation (PBE) on crystalline LaPr5Sm2Th at its relaxed geometry.

Lattice parameters (Å, degrees): 10.7089 10.7089 10.7220 90.00 90.00 148.45
With the nearest neighbours (Å) after each atom.
Fractional coordinates of all 18 atoms:
La 0.0871 0.9129 0.5000  5 Pr 3.14-3.42
La 0.9129 0.0871 0.0000  5 Pr 3.14-3.42
Pr 0.0207 0.9793 0.7923  2 La 3.15-3.42
Pr 0.1151 0.8849 0.0773  6 Pr 3.62-3.97, 4 Sm 3.66, 1 Th 3.84
Pr 0.2074 0.7926 0.7544  3 Pr 3.47-3.87, 3 Th 3.56-3.85, 1 La 3.69, 3 Sm 3.69
Pr 0.2230 0.7770 0.3686  1 La 3.14, 1 Sm 3.32, 2 Pr 3.47
Pr 0.4842 0.5158 0.0760  2 La 3.36, 3 Sm 3.49-3.72, 2 Pr 3.72
Pr 0.5158 0.4842 0.5760  2 La 3.36, 3 Sm 3.49-3.72, 2 Pr 3.72
Pr 0.7770 0.2230 0.8686  1 La 3.14, 1 Sm 3.32, 2 Pr 3.47
Pr 0.7926 0.2074 0.2544  3 Pr 3.47-3.87, 3 Th 3.56-3.85, 1 La 3.69, 3 Sm 3.69
Pr 0.8849 0.1151 0.5773  6 Pr 3.62-3.97, 4 Sm 3.66, 1 Th 3.84
Pr 0.9793 0.0207 0.2923  2 La 3.15-3.42
Sm 0.3840 0.6160 0.3711  8 Pr 3.32-3.69, 1 Th 3.70
Sm 0.3857 0.6143 0.7849  1 Th 3.47, 7 Pr 3.49-3.78, 2 La 3.76
Sm 0.6143 0.3857 0.2849  1 Th 3.47, 7 Pr 3.49-3.78, 2 La 3.76
Sm 0.6160 0.3840 0.8711  8 Pr 3.32-3.69, 1 Th 3.70
Th 0.3013 0.6987 0.0647  2 Sm 3.47-3.70, 8 Pr 3.56-3.85, 2 La 3.77
Th 0.6987 0.3013 0.5647  2 Sm 3.47-3.70, 8 Pr 3.56-3.85, 2 La 3.77

Space group: Cmc2_1 (36)
Mass density: 7.1 g/cm3
Raw total energy: -4.924 eV per atom
Total moment: 0.0 μB per cell
Formation energy from the elements: 0.1519 eV per atom



No. 12
VASP calculation (PBE) on crystalline LaPr2SmTl2 at its relaxed geometry.

Lattice parameters (Å, degrees): 5.4063 10.2373 6.9674 90.00 90.00 90.00
With the nearest neighbours (Å) after each atom.
Fractional coordinates of all 12 atoms:
La 0.0000 0.0405 0.0000  5 Tl 3.39-3.70, 2 La 3.58, 2 Sm 3.61, 1 Pr 3.74
La 0.0000 0.9595 0.5000  5 Tl 3.39-3.70, 2 La 3.58, 2 Sm 3.61, 1 Pr 3.74
Pr 0.0000 0.3242 0.3377  5 Tl 3.31-3.68, 2 Pr 3.60
Pr 0.0000 0.6758 0.8377  5 Tl 3.31-3.68, 2 Pr 3.60
Pr 0.5000 0.4585 0.0602  5 Tl 3.39-3.76, 4 Pr 3.59-3.60, 1 Sm 3.68
Pr 0.5000 0.5415 0.5602  5 Tl 3.39-3.76, 4 Pr 3.59-3.60, 1 Sm 3.68
Sm 0.5000 0.1802 0.7250  4 Tl 3.28-3.30, 2 La 3.61
Sm 0.5000 0.8198 0.2250  4 Tl 3.28-3.30, 2 La 3.61
Tl 0.0000 0.3524 0.8107  2 Sm 3.28, 4 Pr 3.31-3.39, 1 La 3.46
Tl 0.0000 0.6476 0.3107  2 Sm 3.28, 4 Pr 3.31-3.39, 1 La 3.46
Tl 0.5000 0.1414 0.2544  2 Sm 3.30, 3 Pr 3.34-3.52, 2 La 3.39
Tl 0.5000 0.8586 0.7544  2 Sm 3.30, 3 Pr 3.34-3.52, 2 La 3.39

Space group: Pmc2_1 (26)
Mass density: 8.4 g/cm3
Raw total energy: -4.265 eV per atom
Total moment: 0.0 μB per cell
Formation energy from the elements: -0.2751 eV per atom